(1)
First-principles (PBE) data for crystalline Zn3Cd3Ga at its relaxed geometry, as listed in Alexandria via LeMat-Bulk.

POSCAR file:
```
Zn3Cd3Ga
1.0
7.480 0.000 0.000
0.000 7.480 0.000
0.000 0.000 7.480
Cd Zn Ga
6 6 2
direct
0.250 0.000 0.500
0.500 0.250 0.000
0.750 0.000 0.500
0.000 0.500 0.750
0.000 0.500 0.250
0.500 0.750 0.000
0.000 0.750 0.500
0.750 0.500 0.000
0.500 0.000 0.750
0.500 0.000 0.250
0.000 0.250 0.500
0.250 0.500 0.000
0.000 0.000 0.000
0.500 0.500 0.500
```

- calculated volume (Å³ per atom) = 29.899
- formation enthalpy at 0 K (meV per atom) = 490

***

(2)
First-principles (PBE) data for crystalline ZnCd14Ga at its relaxed geometry, as listed in Alexandria via LeMat-Bulk.

POSCAR file:
```
ZnCd14Ga
1.0
-4.293 4.402 -1.402
-1.759 -3.331 -5.057
-5.974 -4.269 4.890
Cd Zn Ga
14 1 1
direct
0.125 0.875 0.000
0.878 0.628 0.745
0.878 0.122 0.256
0.625 0.375 0.000
0.125 0.375 0.500
0.625 0.875 0.500
0.625 0.875 0.000
0.372 0.122 0.745
0.372 0.122 0.255
0.372 0.628 0.744
0.125 0.375 0.000
0.878 0.122 0.744
0.878 0.628 0.255
0.372 0.628 0.256
0.125 0.875 0.500
0.625 0.375 0.500
```

- calculated volume (Å³ per atom) = 21.928
- formation enthalpy at 0 K (meV per atom) = 32

***

(3)
First-principles (PBE) data for crystalline ZnCd6Ga2 at its relaxed geometry, as listed in Alexandria via LeMat-Bulk.

POSCAR file:
```
ZnCd6Ga2
1.0
4.602 0.267 0.377
0.486 7.159 -0.929
0.486 -3.236 6.453
Cd Ga Zn
6 2 1
direct
0.708 0.657 0.657
0.795 0.491 0.158
0.795 0.158 0.491
0.292 0.343 0.343
0.205 0.509 0.842
0.205 0.842 0.509
0.500 0.135 0.865
0.500 0.865 0.135
0.000 0.000 0.000
```

- calculated volume (Å³ per atom) = 21.765
- formation enthalpy at 0 K (meV per atom) = 53

***

(4)
First-principles (PBE) data for crystalline Zn2CdGa3 at its relaxed geometry, as listed in Alexandria via LeMat-Bulk.

POSCAR file:
```
Zn2CdGa3
1.0
6.087 0.000 0.000
3.043 5.271 0.000
3.043 1.757 6.980
Zn Ga Cd
4 6 2
direct
0.000 0.500 0.000
0.000 0.000 0.000
0.500 0.000 0.000
0.500 0.500 0.000
0.238 0.721 0.320
0.762 0.279 0.680
0.279 0.762 0.680
0.721 0.721 0.320
0.721 0.238 0.320
0.279 0.279 0.680
0.779 0.779 0.664
0.221 0.221 0.336
```

- energy above the most stable polymorph in this dataset (meV/atom) = 18
- calculated volume (Å³ per atom) = 18.664
- formation enthalpy at 0 K (meV per atom) = 78

***

Question: What is the formula in the fourth record?
Answer: Zn2CdGa3

***

Copy entry 2 word for word.
First-principles (PBE) data for crystalline ZnCd14Ga at its relaxed geometry, as listed in Alexandria via LeMat-Bulk.

POSCAR file:
```
ZnCd14Ga
1.0
-4.293 4.402 -1.402
-1.759 -3.331 -5.057
-5.974 -4.269 4.890
Cd Zn Ga
14 1 1
direct
0.125 0.875 0.000
0.878 0.628 0.745
0.878 0.122 0.256
0.625 0.375 0.000
0.125 0.375 0.500
0.625 0.875 0.500
0.625 0.875 0.000
0.372 0.122 0.745
0.372 0.122 0.255
0.372 0.628 0.744
0.125 0.375 0.000
0.878 0.122 0.744
0.878 0.628 0.255
0.372 0.628 0.256
0.125 0.875 0.500
0.625 0.375 0.500
```

- calculated volume (Å³ per atom) = 21.928
- formation enthalpy at 0 K (meV per atom) = 32

***

Question: The lowest formation enthalpy at 0 K belongs to which entry?
Answer: ZnCd14Ga